Record 1
Material: Mg2Ti2Cd
Method: DFT, SCAN
State: PBEsol geometry

Values from the calculation:
N(E_F): 6.5 states/eV per cell
Energy: -14.162 eV/atom
Formation enthalpy at 0 K: 0.322 eV per atom

a b c (Å): 3.537 3.537 16.542
angles (deg): 90.00 90.00 90.00
Space group I4/mmm (No. 139)
Asymmetric unit:
Mg 0.000 0.000 0.099
Ti 0.000 0.500 0.250
Cd 0.000 0.000 0.500

=====

Record 2
Material: MgTlCd2
Method: DFT, SCAN
State: PBEsol geometry

Values from the calculation:
N(E_F): 2.6 states/eV per cell
Energy: -34.578 eV/atom
Formation enthalpy at 0 K: -0.037 eV per atom
ΔE to the lowest computed polymorph: 2.1 meV/atom

a b c (Å): 10.800 3.256 5.191
angles (deg): 90.00 98.34 90.00
Space group C2/m (No. 12)
Asymmetric unit:
Mg 0.000 0.000 0.000
Tl 0.000 0.500 0.500
Cd 0.245 0.500 0.241

=====

Record 3
Material: MgTlCd2
Method: DFT, SCAN
State: PBEsol geometry

Values from the calculation:
N(E_F): 2.7 states/eV per cell
Energy: -34.559 eV/atom
Formation enthalpy at 0 K: -0.019 eV per atom
ΔE to the lowest computed polymorph: 20.6 meV/atom

a b c (Å): 4.524 4.524 8.793
angles (deg): 90.00 90.00 90.00
Space group I-4m2 (No. 119)
Asymmetric unit:
Mg 0.000 0.000 0.000
Tl 0.000 0.500 0.250
Cd 0.000 0.000 0.500
Cd 0.000 0.500 0.750

=====

Record 4
Material: MgTlCd
Method: DFT, SCAN
State: PBEsol geometry

Values from the calculation:
N(E_F): 1.9 states/eV per cell
Energy: -35.957 eV/atom
Formation enthalpy at 0 K: -0.042 eV per atom
ΔE to the lowest computed polymorph: 0.0 meV/atom

a b c (Å): 3.465 3.465 11.639
angles (deg): 90.00 90.00 90.00
Space group I4mm (No. 107)
Asymmetric unit:
Mg 0.000 0.000 0.000
Tl 0.000 0.000 0.672
Cd 0.000 0.000 0.349

=====

Record 5
Material: MgTlCd2
Method: DFT, SCAN
State: PBEsol geometry

Values from the calculation:
N(E_F): 1.5 states/eV per cell
Energy: -34.554 eV/atom
Formation enthalpy at 0 K: -0.014 eV per atom
ΔE to the lowest computed polymorph: 25.4 meV/atom

a b c (Å): 3.345 4.891 5.644
angles (deg): 90.00 90.14 90.00
Space group Pm (No. 6)
Asymmetric unit:
Mg 0.000 0.000 0.000
Tl 0.995 0.500 0.335
Cd 0.496 0.000 0.529
Cd 0.499 0.500 0.839

=====

Record 6
Material: MgTlCd2
Method: DFT, SCAN
State: PBEsol geometry

Values from the calculation:
N(E_F): 1.3 states/eV per cell
Energy: -34.553 eV/atom
Formation enthalpy at 0 K: -0.012 eV per atom
ΔE to the lowest computed polymorph: 27.1 meV/atom

a b c (Å): 3.717 3.717 6.614
angles (deg): 90.00 90.00 90.00
Space group P4mm (No. 99)
Asymmetric unit:
Mg 0.000 0.000 0.000
Tl 0.500 0.500 0.259
Cd 0.000 0.000 0.526
Cd 0.500 0.500 0.759

=====

Record 7
Material: MgTlCd2
Method: DFT, SCAN
State: PBEsol geometry

Values from the calculation:
N(E_F): 4.2 states/eV per cell
Energy: -34.547 eV/atom
Formation enthalpy at 0 K: -0.007 eV per atom
ΔE to the lowest computed polymorph: 32.6 meV/atom

a b c (Å): 3.2866 3.2866 29.7141
angles (deg): 90.00 90.00 120.00
Space group R-3m (No. 166, hexagonal axes)
Asymmetric unit:
Mg 0.0000 0.0000 0.0000
Tl 0.0000 0.0000 0.5000
Cd 0.0000 0.0000 0.2551

=====

Record 8
Material: MgTlCd2
Method: DFT, SCAN
State: PBEsol geometry

Values from the calculation:
N(E_F): 3.1 states/eV per cell
Energy: -34.575 eV/atom
Formation enthalpy at 0 K: -0.034 eV per atom
ΔE to the lowest computed polymorph: 5.2 meV/atom

a b c (Å): 5.904 9.038 3.446
angles (deg): 90.00 90.00 90.00
Space group Cmmm (No. 65)
Asymmetric unit:
Mg 0.000 0.000 0.000
Tl 0.000 0.500 0.000
Cd 0.250 0.250 0.500

=====

Record 9
Material: MgTlCd2
Method: DFT, SCAN
State: PBEsol geometry

Values from the calculation:
N(E_F): 2.8 states/eV per cell
Energy: -34.563 eV/atom
Formation enthalpy at 0 K: -0.023 eV per atom
ΔE to the lowest computed polymorph: 16.5 meV/atom

a b c (Å): 10.261 3.190 5.708
angles (deg): 90.00 102.70 90.00
Space group Cm (No. 8)
Asymmetric unit:
Mg 0.000 0.000 0.000
Tl 0.246 0.000 0.758
Cd 0.243 0.500 0.255
Cd 0.491 0.000 0.474

=====

Record 10
Material: MgTlCd
Method: DFT, SCAN
State: PBEsol geometry

Values from the calculation:
N(E_F): 2.0 states/eV per cell
Energy: -35.953 eV/atom
Formation enthalpy at 0 K: -0.038 eV per atom
ΔE to the lowest computed polymorph: 4.0 meV/atom

a b c (Å): 3.406 4.339 9.409
angles (deg): 90.00 90.00 90.00
Space group Imm2 (No. 44)
Asymmetric unit:
Mg 0.000 0.000 0.000
Tl 0.000 0.000 0.669
Cd 0.000 0.000 0.339

=====

Record 11
Material: MgTlCd2
Method: DFT, SCAN
State: PBEsol geometry

Values from the calculation:
N(E_F): 1.5 states/eV per cell
Energy: -34.580 eV/atom
Formation enthalpy at 0 K: -0.039 eV per atom
ΔE to the lowest computed polymorph: 0.0 meV/atom

a b c (Å): 3.224 3.224 8.825
angles (deg): 90.00 90.00 90.00
Space group P4/mmm (No. 123)
Asymmetric unit:
Mg 0.000 0.000 0.000
Tl 0.000 0.000 0.500
Cd 0.500 0.500 0.226

=====

Record 12
Material: MgTlCd2
Method: DFT, SCAN
State: PBEsol geometry

Values from the calculation:
N(E_F): 1.3 states/eV per cell
Energy: -34.566 eV/atom
Formation enthalpy at 0 K: -0.026 eV per atom
ΔE to the lowest computed polymorph: 13.3 meV/atom

a b c (Å): 3.359 4.265 6.333
angles (deg): 90.00 90.00 90.00
Space group Pmm2 (No. 25)
Asymmetric unit:
Mg 0.000 0.000 0.000
Tl 0.500 0.500 0.252
Cd 0.000 0.000 0.521
Cd 0.500 0.500 0.754

=====

Record 13
Material: MgTlCd2
Method: DFT, SCAN
State: PBEsol geometry

Values from the calculation:
N(E_F): 2.3 states/eV per cell
Energy: -34.573 eV/atom
Formation enthalpy at 0 K: -0.033 eV per atom
ΔE to the lowest computed polymorph: 6.7 meV/atom

a b c (Å): 4.385 4.385 9.396
angles (deg): 90.00 90.00 90.00
Space group I4/mmm (No. 139)
Asymmetric unit:
Mg 0.000 0.000 0.000
Tl 0.000 0.000 0.500
Cd 0.000 0.500 0.250

=====

Record 14
Material: MgTlCd
Method: DFT, SCAN
State: PBEsol geometry

Values from the calculation:
N(E_F): 1.2 states/eV per cell
Energy: -35.942 eV/atom
Formation enthalpy at 0 K: -0.027 eV per atom
ΔE to the lowest computed polymorph: 15.1 meV/atom

a b c (Å): 3.3087 3.3087 7.4211
angles (deg): 90.00 90.00 120.00
Space group P3m1 (No. 156)
Asymmetric unit:
Mg 0.0000 0.0000 0.0000
Tl 0.3333 0.6667 0.6574
Cd 0.6667 0.3333 0.3119

=====

Record 15
Material: MgTlCd4
Method: DFT, SCAN
State: PBEsol geometry

Values from the calculation:
N(E_F): 7.9 states/eV per cell
Energy: -33.143 eV/atom
Formation enthalpy at 0 K: 0.022 eV per atom

a b c (Å): 8.217 8.217 8.217
angles (deg): 90.00 90.00 90.00
Space group F-43m (No. 216)
Asymmetric unit:
Mg 0.000 0.000 0.000
Tl 0.250 0.250 0.250
Cd 0.125 0.125 0.625

=====

Record 16
Material: MgTlCd2
Method: DFT, SCAN
State: PBEsol geometry

Values from the calculation:
N(E_F): 1.2 states/eV per cell
Energy: -34.568 eV/atom
Formation enthalpy at 0 K: -0.027 eV per atom
ΔE to the lowest computed polymorph: 12.1 meV/atom

a b c (Å): 3.296 4.423 6.256
angles (deg): 90.00 90.00 90.00
Space group Pmmm (No. 47)
Asymmetric unit:
Mg 0.000 0.000 0.000
Tl 0.000 0.000 0.500
Cd 0.500 0.500 0.236

=====

Record 17
Material: Tm2MgCd
Method: DFT, SCAN
State: PBEsol geometry

Values from the calculation:
N(E_F): 12.7 states/eV per cell
Energy: -34.999 eV/atom
Formation enthalpy at 0 K: -0.236 eV per atom

a b c (Å): 7.323 7.323 7.323
angles (deg): 90.00 90.00 90.00
Space group Fm-3m (No. 225)
Asymmetric unit:
Tm 0.250 0.250 0.250
Mg 0.000 0.000 0.000
Cd 0.000 0.000 0.500

=====

Record 18
Material: MgCd2W
Method: DFT, SCAN
State: PBEsol geometry

Values from the calculation:
N(E_F): 3.1 states/eV per cell
Energy: -33.359 eV/atom
Formation enthalpy at 0 K: 0.513 eV per atom

a b c (Å): 2.951 4.981 9.952
angles (deg): 90.00 90.00 90.00
Space group Imm2 (No. 44)
Asymmetric unit:
Mg 0.000 0.000 0.000
Cd 0.000 0.000 0.496
Cd 0.000 0.500 0.247
W 0.000 0.500 0.746

=====

Record 19
Material: YMgCd4
Method: DFT, SCAN
State: PBEsol geometry

Values from the calculation:
N(E_F): 10.0 states/eV per cell
Energy: -25.976 eV/atom
Formation enthalpy at 0 K: -0.231 eV per atom

a b c (Å): 8.129 8.129 8.129
angles (deg): 90.00 90.00 90.00
Space group F-43m (No. 216)
Asymmetric unit:
Y 0.000 0.000 0.000
Mg 0.250 0.250 0.750
Cd 0.125 0.125 0.375

=====

Record 20
Material: Mg2ZnCd
Method: DFT, SCAN
State: PBEsol geometry

Values from the calculation:
N(E_F): 1.1 states/eV per cell
Energy: -13.611 eV/atom
Formation enthalpy at 0 K: -0.141 eV per atom
ΔE to the lowest computed polymorph: 9.8 meV/atom

a b c (Å): 3.126 3.595 6.784
angles (deg): 90.00 90.00 90.00
Space group Pmmm (No. 47)
Asymmetric unit:
Mg 0.000 0.000 0.232
Zn 0.500 0.500 0.000
Cd 0.500 0.500 0.500

=====

Record 21
Material: Mg2ZnCd
Method: DFT, SCAN
State: PBEsol geometry

Values from the calculation:
N(E_F): 4.3 states/eV per cell
Energy: -13.512 eV/atom
Formation enthalpy at 0 K: -0.043 eV per atom
ΔE to the lowest computed polymorph: 108.4 meV/atom

a b c (Å): 3.1273 3.1273 27.9157
angles (deg): 90.00 90.00 120.00
Space group R-3m (No. 166, hexagonal axes)
Asymmetric unit:
Mg 0.0000 0.0000 0.2451
Zn 0.0000 0.0000 0.5000
Cd 0.0000 0.0000 0.0000

=====

Record 22
Material: Mg2ZnCd
Method: DFT, SCAN
State: PBEsol geometry

Values from the calculation:
N(E_F): 2.8 states/eV per cell
Energy: -13.507 eV/atom
Formation enthalpy at 0 K: -0.038 eV per atom
ΔE to the lowest computed polymorph: 112.9 meV/atom

a b c (Å): 9.453 3.119 5.467
angles (deg): 90.00 101.62 90.00
Space group C2/m (No. 12)
Asymmetric unit:
Mg 0.244 0.000 0.239
Zn 0.000 0.500 0.000
Cd 0.000 0.000 0.500

=====

Record 23
Material: Mg2ZnCd
Method: DFT, SCAN
State: PBEsol geometry

Values from the calculation:
N(E_F): 1.3 states/eV per cell
Energy: -13.620 eV/atom
Formation enthalpy at 0 K: -0.151 eV per atom
ΔE to the lowest computed polymorph: 0.0 meV/atom

a b c (Å): 3.336 3.336 6.806
angles (deg): 90.00 90.00 90.00
Space group P4/mmm (No. 123)
Asymmetric unit:
Mg 0.000 0.000 0.232
Zn 0.500 0.500 0.000
Cd 0.500 0.500 0.500

=====

Record 24
Material: Mg2ZnCd
Method: DFT, SCAN
State: PBEsol geometry

Values from the calculation:
N(E_F): 2.6 states/eV per cell
Energy: -13.566 eV/atom
Formation enthalpy at 0 K: -0.096 eV per atom
ΔE to the lowest computed polymorph: 54.8 meV/atom

a b c (Å): 10.571 3.104 5.092
angles (deg): 90.00 111.98 90.00
Space group Cm (No. 8)
Asymmetric unit:
Mg 0.000 0.000 0.000
Mg 0.224 0.000 0.630
Zn 0.482 0.000 0.509
Cd 0.259 0.500 0.154

=====

Record 25
Material: Mg2ZnCd
Method: DFT, SCAN
State: PBEsol geometry

Values from the calculation:
N(E_F): 1.4 states/eV per cell
Energy: -13.514 eV/atom
Formation enthalpy at 0 K: -0.045 eV per atom
ΔE to the lowest computed polymorph: 106.2 meV/atom

a b c (Å): 3.249 4.058 5.921
angles (deg): 90.00 90.00 90.00
Space group Pmm2 (No. 25)
Asymmetric unit:
Mg 0.000 0.000 0.000
Mg 0.500 0.500 0.279
Zn 0.000 0.000 0.500
Cd 0.500 0.500 0.758

=====

Record 26
Material: Mg2ZnCd
Method: DFT, SCAN
State: PBEsol geometry

Values from the calculation:
N(E_F): 2.6 states/eV per cell
Energy: -13.547 eV/atom
Formation enthalpy at 0 K: -0.078 eV per atom
ΔE to the lowest computed polymorph: 73.0 meV/atom

a b c (Å): 4.205 4.205 8.739
angles (deg): 90.00 90.00 90.00
Space group I-4m2 (No. 119)
Asymmetric unit:
Mg 0.000 0.000 0.000
Mg 0.000 0.500 0.250
Zn 0.000 0.000 0.500
Cd 0.000 0.500 0.750

=====

Record 27
Material: Mg2ZnCd
Method: DFT, SCAN
State: PBEsol geometry

Values from the calculation:
N(E_F): 2.8 states/eV per cell
Energy: -13.557 eV/atom
Formation enthalpy at 0 K: -0.088 eV per atom
ΔE to the lowest computed polymorph: 63.5 meV/atom

a b c (Å): 3.223 4.821 10.017
angles (deg): 90.00 90.00 90.00
Space group Imm2 (No. 44)
Asymmetric unit:
Mg 0.000 0.000 0.000
Mg 0.000 0.500 0.222
Zn 0.000 0.500 0.732
Cd 0.000 0.000 0.460

=====

Record 28
Material: MgZn3Cd
Method: DFT, SCAN
State: PBEsol geometry

Values from the calculation:
N(E_F): 2.3 states/eV per cell
Energy: -14.534 eV/atom
Formation enthalpy at 0 K: 0.652 eV per atom

a b c (Å): 4.972 4.972 4.972
angles (deg): 90.00 90.00 90.00
Space group Pm-3m (No. 221)
Asymmetric unit:
Mg 0.000 0.000 0.000
Zn 0.000 0.000 0.500
Cd 0.500 0.500 0.500

=====

Record 29
Material: Mg2ZnCd
Method: DFT, SCAN
State: PBEsol geometry

Values from the calculation:
N(E_F): 4.9 states/eV per cell
Energy: -13.609 eV/atom
Formation enthalpy at 0 K: -0.140 eV per atom
ΔE to the lowest computed polymorph: 10.9 meV/atom

a b c (Å): 6.729 6.729 6.729
angles (deg): 90.00 90.00 90.00
Space group Fm-3m (No. 225)
Asymmetric unit:
Mg 0.250 0.250 0.250
Zn 0.000 0.000 0.000
Cd 0.000 0.000 0.500

=====

Record 30
Material: Mg2ZnCd
Method: DFT, SCAN
State: PBEsol geometry

Values from the calculation:
N(E_F): 1.4 states/eV per cell
Energy: -13.505 eV/atom
Formation enthalpy at 0 K: -0.036 eV per atom
ΔE to the lowest computed polymorph: 115.4 meV/atom

a b c (Å): 3.088 3.088 8.209
angles (deg): 90.00 90.00 90.00
Space group P4mm (No. 99)
Asymmetric unit:
Mg 0.000 0.000 0.000
Mg 0.500 0.500 0.288
Zn 0.000 0.000 0.511
Cd 0.500 0.500 0.738

=====

Record 31
Material: Mg2ZnCd
Method: DFT, SCAN
State: PBEsol geometry

Values from the calculation:
N(E_F): 2.5 states/eV per cell
Energy: -13.606 eV/atom
Formation enthalpy at 0 K: -0.137 eV per atom
ΔE to the lowest computed polymorph: 14.5 meV/atom

a b c (Å): 6.566 6.968 3.335
angles (deg): 90.00 90.00 90.00
Space group Cmmm (No. 65)
Asymmetric unit:
Mg 0.250 0.250 0.000
Zn 0.000 0.000 0.500
Cd 0.000 0.500 0.500